(1)
The following is a DFT calculation (PBE) of crystalline Sm2ScTl at its relaxed geometry.

Results
ΔH_f (0 K) = -0.13 eV per atom
Energy above the lowest structure with this stoichiometry = 0.19 eV per formula unit

Unit cell a=3.729 b=3.729 c=8.478 alpha=90.00 beta=90.00 gamma=90.00
Sites, in units of the cell vectors:
Sm (0.000, 0.000, 0.246)
Sm (0.000, 0.000, 0.754)
Sc (0.500, 0.500, 0.500)
Tl (0.500, 0.500, 0.000)


(2)
The following is a DFT calculation (PBE) of crystalline Sm2ScTl at its relaxed geometry.

Results
ΔH_f (0 K) = -0.17 eV per atom
Energy above the lowest structure with this stoichiometry = 0.00 eV per formula unit

Unit cell a=6.730 b=6.730 c=6.730 alpha=120.37 beta=100.63 gamma=108.06
Sites, in units of the cell vectors:
Sm (0.296, 0.000, 0.796)
Sm (0.296, 0.500, 0.296)
Sm (0.704, 0.000, 0.204)
Sm (0.704, 0.500, 0.704)
Sc (0.185, 0.435, 0.750)
Sc (0.815, 0.565, 0.250)
Tl (0.195, 0.945, 0.250)
Tl (0.805, 0.055, 0.750)


(3)
The following is a DFT calculation (PBE) of crystalline Sm5ScTl6 at its relaxed geometry.

Results
ΔH_f (0 K) = -0.35 eV per atom

Unit cell a=9.362 b=9.362 c=5.413 alpha=106.74 beta=106.74 gamma=120.19
Sites, in units of the cell vectors:
Sm (0.000, 0.000, 0.000)
Sm (0.164, 0.836, 0.500)
Sm (0.328, 0.672, 0.000)
Sm (0.672, 0.328, 0.000)
Sm (0.836, 0.164, 0.500)
Sc (0.500, 0.500, 0.500)
Tl (0.098, 0.420, 0.259)
Tl (0.267, 0.267, 0.766)
Tl (0.420, 0.098, 0.259)
Tl (0.580, 0.902, 0.741)
Tl (0.733, 0.733, 0.234)
Tl (0.902, 0.580, 0.741)


(4)
The following is a DFT calculation (PBE) of crystalline Sm4ScTl5 at its relaxed geometry.

Results
ΔH_f (0 K) = -0.36 eV per atom

Unit cell a=3.733 b=3.733 c=19.859 alpha=90.00 beta=90.00 gamma=90.00
Sites, in units of the cell vectors:
Sm (0.000, 0.000, 0.104)
Sm (0.000, 0.000, 0.311)
Sm (0.000, 0.000, 0.689)
Sm (0.000, 0.000, 0.896)
Sc (0.000, 0.000, 0.500)
Tl (0.500, 0.500, 0.000)
Tl (0.500, 0.500, 0.208)
Tl (0.500, 0.500, 0.414)
Tl (0.500, 0.500, 0.586)
Tl (0.500, 0.500, 0.792)


- Which of these has the highest ΔH_f (0 K)?
  number 1